Entry 1:
Compound: LiZn2Cu2
Source: Alexandria
Functional: PBE
Structure: optimized geometry

Calculated values
The calculation puts the energy of formation from the pure elements at 0.05 eV per atom. For the total energy, the calculation gives -2.48 eV/atom.

Cell: 6.304 6.304 6.304 Å, 145.75 145.75 49.22°
Sites, in units of the cell vectors:
Li: 0.000 0.000 0.000
Zn: 0.250 0.750 0.500
Zn: 0.750 0.250 0.500
Cu: 0.398 0.398 0.000
Cu: 0.602 0.602 0.000

=====

Entry 2:
Compound: LiZn2Cu2
Source: Alexandria
Functional: PBE
Structure: optimized geometry

Calculated values
The calculation puts the energy of formation from the pure elements at -0.13 eV per atom. For the total energy, the calculation gives -2.66 eV/atom.

Cell: 8.092 8.092 4.087 Å, 90.00 90.00 151.00°
Sites, in units of the cell vectors:
Li: 0.150 0.850 0.750
Li: 0.850 0.150 0.250
Zn: 0.051 0.949 0.250
Zn: 0.252 0.748 0.250
Zn: 0.748 0.252 0.750
Zn: 0.949 0.051 0.750
Cu: 0.351 0.649 0.750
Cu: 0.451 0.549 0.250
Cu: 0.549 0.451 0.750
Cu: 0.649 0.351 0.250

=====

Entry 3:
Compound: Li3ZnCu8
Source: Alexandria
Functional: PBE
Structure: optimized geometry

Calculated values
The calculation puts the energy of formation from the pure elements at -0.05 eV per atom. For the total energy, the calculation gives -3.37 eV/atom.

Cell: 8.535 8.535 8.535 Å, 33.00 33.00 33.00°
Sites, in units of the cell vectors:
Li: 0.000 0.000 0.000
Li: 0.125 0.125 0.125
Li: 0.624 0.624 0.624
Zn: 0.498 0.498 0.498
Cu: 0.062 0.062 0.561
Cu: 0.062 0.561 0.062
Cu: 0.064 0.562 0.562
Cu: 0.312 0.312 0.312
Cu: 0.561 0.062 0.062
Cu: 0.562 0.064 0.562
Cu: 0.562 0.562 0.064
Cu: 0.812 0.812 0.812

=====

Entry 4:
Compound: Li3Zn3Cu2
Source: Alexandria
Functional: PBE
Structure: optimized geometry

Calculated values
The calculation puts the energy of formation from the pure elements at -0.13 eV per atom. For the total energy, the calculation gives -2.35 eV/atom.

Cell: 3.829 3.926 7.845 Å, 104.38 103.71 90.27°
Sites, in units of the cell vectors:
Li: 0.000 0.000 0.000
Li: 0.368 0.868 0.737
Li: 0.632 0.132 0.263
Zn: 0.139 0.637 0.272
Zn: 0.500 0.500 0.000
Zn: 0.861 0.363 0.728
Cu: 0.245 0.247 0.494
Cu: 0.755 0.753 0.506

=====

Please write out number 3 again, unchanged.
Compound: Li3ZnCu8
Source: Alexandria
Functional: PBE
Structure: optimized geometry

Calculated values
The calculation puts the energy of formation from the pure elements at -0.05 eV per atom. For the total energy, the calculation gives -3.37 eV/atom.

Cell: 8.535 8.535 8.535 Å, 33.00 33.00 33.00°
Sites, in units of the cell vectors:
Li: 0.000 0.000 0.000
Li: 0.125 0.125 0.125
Li: 0.624 0.624 0.624
Zn: 0.498 0.498 0.498
Cu: 0.062 0.062 0.561
Cu: 0.062 0.561 0.062
Cu: 0.064 0.562 0.562
Cu: 0.312 0.312 0.312
Cu: 0.561 0.062 0.062
Cu: 0.562 0.064 0.562
Cu: 0.562 0.562 0.064
Cu: 0.812 0.812 0.812

=====

Q: The highest energy of formation from the pure elements belongs to which entry?
A: number 1